VASP calculation (PBE-GGA) on a relaxed HoCdGa4 crystal.

```
HoCdGa4
1.0
-5.0763 0.0051 2.2312
-3.2617 -4.4539 -0.5206
-1.0901 -3.1697 4.4172
Ho Ga Cd
1 4 1
Direct
0.2500 0.2500 0.2500
0.6247 0.6247 0.1259
0.6247 0.1259 0.6247
0.6247 0.6247 0.6247
0.1259 0.6247 0.6247
0.0000 0.0000 0.0000
```

VASP energy	-3.13	eV/atom
V	120.6	Å³/cell
magnetic moment	0.00	μB per cell
E_form	-0.19	eV per atom